No. 1
The following is a PBE calculation of an optimized crystal structure of Zn2CuRe, from Alexandria.

Unit cell a=4.4604 b=4.4604 c=2.7941 alpha=90.00 beta=90.00 gamma=90.00
Atoms (fractional coordinates):
Zn (0.0000, 0.5000, 0.0000)
Zn (0.5000, 0.0000, 0.0000)
Cu (0.0000, 0.0000, 0.5000)
Re (0.5000, 0.5000, 0.5000)

Properties
E	-4.56	eV/atom
energy of formation from the pure elements	211.7	meV/atom


No. 2
The following is a PBE calculation of an optimized crystal structure of ZnCu2Re, from Alexandria.

Unit cell a=2.6024 b=2.6024 c=7.8224 alpha=90.00 beta=90.00 gamma=90.50
Atoms (fractional coordinates):
Zn (0.0000, 0.0000, 0.0000)
Cu (0.5000, 0.5000, 0.2437)
Cu (0.5000, 0.5000, 0.7563)
Re (0.0000, 0.0000, 0.5000)

Properties
E	-5.35	eV/atom
energy of formation from the pure elements	129.4	meV/atom


What is the E in the first record?
-4.56 eV/atom


Number 1 is which compound?
Zn2CuRe


What did the first record say?
The following is a PBE calculation of an optimized crystal structure of Zn2CuRe, from Alexandria.

Unit cell a=4.4604 b=4.4604 c=2.7941 alpha=90.00 beta=90.00 gamma=90.00
Atoms (fractional coordinates):
Zn (0.0000, 0.5000, 0.0000)
Zn (0.5000, 0.0000, 0.0000)
Cu (0.0000, 0.0000, 0.5000)
Re (0.5000, 0.5000, 0.5000)

Properties
E	-4.56	eV/atom
energy of formation from the pure elements	211.7	meV/atom


What is the E in the first record?
-4.56 eV/atom